# 1
# PuMn2

A relaxed structure of PuMn2 (PBE, Alexandria).

Unit cell a=6.240 b=6.240 c=6.240 alpha=156.13 beta=156.13 gamma=34.01
Atoms (fractional coordinates):
Pu1 0.000 0.000 0.000
Mn1 0.308 0.308 0.000
Mn2 0.692 0.692 0.000

Calculated values
V ... 39.7 Å³/f.u.
Formation enthalpy at 0 K ... 0.343 eV/atom
DOS(E_F) ... 1.62 states/eV/atom


# 2
# Li6MgPt

A relaxed structure of Li6MgPt (PBE, Alexandria).

Unit cell a=4.574 b=5.841 c=5.841 alpha=58.55 beta=90.00 gamma=90.00
Atoms (fractional coordinates):
Li1 0.000 0.000 0.000
Li2 0.000 0.514 0.973
Li3 0.000 0.973 0.514
Li4 0.500 0.142 0.649
Li5 0.500 0.156 0.156
Li6 0.500 0.649 0.142
Mg1 0.000 0.505 0.505
Pt1 0.500 0.652 0.652

Calculated values
V ... 133.1 Å³/f.u.
Formation enthalpy at 0 K ... -0.212 eV/atom
DOS(E_F) ... 0.40 states/eV/atom


# 3
# KTb2PrSe4

A relaxed structure of KTb2PrSe4 (PBE, Alexandria).

Unit cell a=7.356 b=4.163 c=7.436 alpha=90.00 beta=108.41 gamma=90.00
Atoms (fractional coordinates):
K1 0.000 0.000 0.000
Tb1 0.000 0.500 0.500
Tb2 0.500 0.000 0.500
Pr1 0.500 0.500 0.000
Se1 0.248 0.000 0.733
Se2 0.264 0.500 0.274
Se3 0.736 0.500 0.726
Se4 0.752 0.000 0.267

Calculated values
Raw formation energy ... -1.75 eV/atom
V ... 216.0 Å³/f.u.
DOS(E_F) ... 0.34 states/eV/atom